No. 1
A relaxed structure of MgBi2Te2. Source: Alexandria, functional PBE-GGA.

The structure in CIF format:
```
data_MgBi2Te2
_chemical_formula_sum 'Mg2 Bi4 Te4'
_cell_length_a 7.814
_cell_length_b 7.814
_cell_length_c 5.125
_cell_angle_alpha 90.00
_cell_angle_beta 90.00
_cell_angle_gamma 90.00
_space_group_name_H-M_alt 'P 4/m b m'
_space_group_IT_number 127
_space_group_name_Hall '-P 4 2ab'
loop_
_atom_site_label
_atom_site_type_symbol
_atom_site_fract_x
_atom_site_fract_y
_atom_site_fract_z
Mg1 Mg 0.000 0.000 0.000
Bi1 Bi 0.149 0.351 0.500
Te1 Te 0.176 0.676 0.000
```

Output
Its total moment is 0.0 μB/cell. The uncorrected formation energy comes out at -0.03 eV/atom. The value obtained for the volume is 313.0 Å³ per cell.

No. 2
A relaxed structure of Ti2GeRh5. Source: Alexandria, functional PBE-GGA.

The structure in CIF format:
```
data_Ti2GeRh5
_chemical_formula_sum 'Ti4 Ge2 Rh10'
_cell_length_a 5.427
_cell_length_b 10.652
_cell_length_c 3.964
_cell_angle_alpha 90.00
_cell_angle_beta 90.00
_cell_angle_gamma 90.00
_space_group_name_H-M_alt 'P b a m'
_space_group_IT_number 55
_space_group_name_Hall '-P 2 2ab'
loop_
_atom_site_label
_atom_site_type_symbol
_atom_site_fract_x
_atom_site_fract_y
_atom_site_fract_z
Ti1 Ti 0.179 0.141 0.000
Ge1 Ge 0.000 0.500 0.500
Rh1 Rh 0.000 0.000 0.500
Rh2 Rh 0.068 0.744 0.500
Rh3 Rh 0.194 0.390 0.000
```

Output
Its total moment is 0.0 μB/cell. The value obtained for the volume is 229.1 Å³ per cell. As for the formation energy: -6.4 eV/f.u.

No. 3
A relaxed structure of LaPm2Hg3. Source: Alexandria, functional PBE-GGA.

The structure in CIF format:
```
data_LaPm2Hg3
_chemical_formula_sum 'La1 Pm2 Hg3'
_cell_length_a 3.838
_cell_length_b 3.838
_cell_length_c 11.584
_cell_angle_alpha 90.00
_cell_angle_beta 90.00
_cell_angle_gamma 90.00
_space_group_name_H-M_alt 'P 4/m m m'
_space_group_IT_number 123
_space_group_name_Hall '-P 4 2'
loop_
_atom_site_label
_atom_site_type_symbol
_atom_site_fract_x
_atom_site_fract_y
_atom_site_fract_z
La1 La 0.000 0.000 0.000
Pm1 Pm 0.000 0.000 0.337
Hg1 Hg 0.500 0.500 0.176
Hg2 Hg 0.500 0.500 0.500
```

Output
Its total moment is 1.2 μB/cell. The value obtained for the volume is 170.6 Å³ per cell. As for the formation energy: -2.9 eV/f.u.

No. 4
A relaxed structure of Sr5Cu2. Source: Alexandria, functional PBE-GGA.

The structure in CIF format:
```
data_Sr5Cu2
_chemical_formula_sum 'Sr20 Cu8'
_cell_length_a 18.384
_cell_length_b 7.310
_cell_length_c 8.180
_cell_angle_alpha 90.00
_cell_angle_beta 97.46
_cell_angle_gamma 90.00
_space_group_name_H-M_alt 'C 1 2/c 1'
_space_group_IT_number 15
_space_group_name_Hall '-C 2yc'
loop_
_atom_site_label
_atom_site_type_symbol
_atom_site_fract_x
_atom_site_fract_y
_atom_site_fract_z
Sr1 Sr 0.000 0.074 0.250
Sr2 Sr 0.094 0.406 0.915
Sr3 Sr 0.214 0.081 0.314
Cu1 Cu 0.111 0.201 0.582
```

Output
Its total moment is 0.0 μB/cell. The value obtained for the volume is 1090.1 Å³ per cell. As for the formation energy: -0.2 eV/f.u.

No. 5
A relaxed structure of ReSn3Cl. Source: Alexandria, functional PBE-GGA.

The structure in CIF format:
```
data_ReSn3Cl
_chemical_formula_sum 'Re1 Sn3 Cl1'
_cell_length_a 5.184
_cell_length_b 5.184
_cell_length_c 5.184
_cell_angle_alpha 90.00
_cell_angle_beta 90.00
_cell_angle_gamma 90.00
_space_group_name_H-M_alt 'P m -3 m'
_space_group_IT_number 221
_space_group_name_Hall '-P 4 2 3'
loop_
_atom_site_label
_atom_site_type_symbol
_atom_site_fract_x
_atom_site_fract_y
_atom_site_fract_z
Re1 Re 0.000 0.000 0.000
Sn1 Sn 0.000 0.000 0.500
Cl1 Cl 0.500 0.500 0.500
```

Output
Its total moment is 0.0 μB/cell. The uncorrected formation energy comes out at -0.15 eV/atom. The value obtained for the volume is 139.3 Å³ per cell.

No. 6
A relaxed structure of KPuSi2O8. Source: Alexandria, functional PBE-GGA.

The structure in CIF format:
```
data_KPuSi2O8
_chemical_formula_sum 'K3 Pu3 Si6 O24'
_cell_length_a 5.4858
_cell_length_b 5.4858
_cell_length_c 26.4136
_cell_angle_alpha 90.00
_cell_angle_beta 90.00
_cell_angle_gamma 120.00
_space_group_name_H-M_alt 'R -3 m'
_space_group_IT_number 166
_space_group_name_Hall '-R 3 2"'
loop_
_atom_site_label
_atom_site_type_symbol
_atom_site_fract_x
_atom_site_fract_y
_atom_site_fract_z
K1 K 0.0000 0.0000 0.0000
Pu1 Pu 0.0000 0.0000 0.5000
Si1 Si 0.0000 0.0000 0.2375
O1 O 0.0000 0.0000 0.2971
O2 O 0.0131 0.5065 0.8785
```

Output
Its total moment is 2.9 μB/cell. The uncorrected formation energy comes out at -2.27 eV/atom. The value obtained for the volume is 688.4 Å³ per cell.

No. 7
A relaxed structure of CrRh2Au. Source: Alexandria, functional PBE-GGA.

The structure in CIF format:
```
data_CrRh2Au
_chemical_formula_sum 'Cr2 Rh4 Au2'
_cell_length_a 9.126
_cell_length_b 2.810
_cell_length_c 4.775
_cell_angle_alpha 90.00
_cell_angle_beta 102.84
_cell_angle_gamma 90.00
_space_group_name_H-M_alt 'C 1 2/m 1'
_space_group_IT_number 12
_space_group_name_Hall '-C 2y'
loop_
_atom_site_label
_atom_site_type_symbol
_atom_site_fract_x
_atom_site_fract_y
_atom_site_fract_z
Cr1 Cr 0.000 0.000 0.000
Rh1 Rh 0.237 0.500 0.234
Au1 Au 0.000 0.500 0.500
```

Output
Its total moment is 5.2 μB/cell. The value obtained for the volume is 119.4 Å³ per cell. As for the formation energy: 0.4 eV/f.u.

No. 8
A relaxed structure of YTa2H2. Source: Alexandria, functional PBE-GGA.

The structure in CIF format:
```
data_YTa2H2
_chemical_formula_sum 'Y2 Ta4 H4'
_cell_length_a 3.646
_cell_length_b 3.646
_cell_length_c 10.881
_cell_angle_alpha 90.00
_cell_angle_beta 90.00
_cell_angle_gamma 90.00
_space_group_name_H-M_alt 'I 4/m m m'
_space_group_IT_number 139
_space_group_name_Hall '-I 4 2'
loop_
_atom_site_label
_atom_site_type_symbol
_atom_site_fract_x
_atom_site_fract_y
_atom_site_fract_z
Y1 Y 0.000 0.000 0.000
Ta1 Ta 0.000 0.000 0.314
H1 H 0.000 0.500 0.250
```

Output
Its total moment is 0.0 μB/cell. The value obtained for the volume is 144.6 Å³ per cell.

No. 9
A relaxed structure of TlAsPd2. Source: Alexandria, functional PBE-GGA.

The structure in CIF format:
```
data_TlAsPd2
_chemical_formula_sum 'Tl3 As3 Pd6'
_cell_length_a 3.1869
_cell_length_b 3.1869
_cell_length_c 25.2016
_cell_angle_alpha 90.00
_cell_angle_beta 90.00
_cell_angle_gamma 120.00
_space_group_name_H-M_alt 'R -3 m'
_space_group_IT_number 166
_space_group_name_Hall '-R 3 2"'
loop_
_atom_site_label
_atom_site_type_symbol
_atom_site_fract_x
_atom_site_fract_y
_atom_site_fract_z
Tl1 Tl 0.0000 0.0000 0.0000
As1 As 0.0000 0.0000 0.5000
Pd1 Pd 0.0000 0.0000 0.2417
```

Output
Its total moment is 0.0 μB/cell. The value obtained for the volume is 221.7 Å³ per cell. As for the formation energy: -0.5 eV/f.u.

No. 10
A relaxed structure of Sc2InHRh. Source: Alexandria, functional PBE-GGA.

The structure in CIF format:
```
data_Sc2InHRh
_chemical_formula_sum 'Sc2 In1 H1 Rh1'
_cell_length_a 4.592
_cell_length_b 4.592
_cell_length_c 3.789
_cell_angle_alpha 90.00
_cell_angle_beta 90.00
_cell_angle_gamma 90.00
_space_group_name_H-M_alt 'P 4/m m m'
_space_group_IT_number 123
_space_group_name_Hall '-P 4 2'
loop_
_atom_site_label
_atom_site_type_symbol
_atom_site_fract_x
_atom_site_fract_y
_atom_site_fract_z
Sc1 Sc 0.000 0.500 0.000
In1 In 0.000 0.000 0.500
H1 H 0.500 0.500 0.000
Rh1 Rh 0.500 0.500 0.500
```

Output
Its total moment is 0.0 μB/cell. The value obtained for the volume is 79.9 Å³ per cell.

No. 11
A relaxed structure of ZrReNi2. Source: Alexandria, functional PBE-GGA.

The structure in CIF format:
```
data_ZrReNi2
_chemical_formula_sum 'Zr4 Re4 Ni8'
_cell_length_a 6.159
_cell_length_b 6.159
_cell_length_c 6.159
_cell_angle_alpha 90.00
_cell_angle_beta 90.00
_cell_angle_gamma 90.00
_space_group_name_H-M_alt 'F m -3 m'
_space_group_IT_number 225
_space_group_name_Hall '-F 4 2 3'
loop_
_atom_site_label
_atom_site_type_symbol
_atom_site_fract_x
_atom_site_fract_y
_atom_site_fract_z
Zr1 Zr 0.000 0.000 0.000
Re1 Re 0.000 0.000 0.500
Ni1 Ni 0.250 0.250 0.250
```

Output
Its total moment is 4.6 μB/cell. The value obtained for the volume is 233.6 Å³ per cell. As for the formation energy: 0.1 eV/f.u.

No. 12
A relaxed structure of Mg2ReW. Source: Alexandria, functional PBE-GGA.

The structure in CIF format:
```
data_Mg2ReW
_chemical_formula_sum 'Mg8 Re4 W4'
_cell_length_a 7.362
_cell_length_b 7.362
_cell_length_c 5.270
_cell_angle_alpha 90.00
_cell_angle_beta 90.00
_cell_angle_gamma 90.00
_space_group_name_H-M_alt 'I -4 2 d'
_space_group_IT_number 122
_space_group_name_Hall 'I -4 2bw'
loop_
_atom_site_label
_atom_site_type_symbol
_atom_site_fract_x
_atom_site_fract_y
_atom_site_fract_z
Mg1 Mg 0.242 0.250 0.125
Re1 Re 0.000 0.000 0.000
W1 W 0.000 0.000 0.500
```

Output
Its total moment is 0.0 μB/cell. The value obtained for the volume is 285.6 Å³ per cell. As for the formation energy: 4.8 eV/f.u.

No. 13
A relaxed structure of BaPtBr. Source: Alexandria, functional PBE-GGA.

The structure in CIF format:
```
data_BaPtBr
_chemical_formula_sum 'Ba1 Pt1 Br1'
_cell_length_a 4.8841
_cell_length_b 4.8841
_cell_length_c 4.1650
_cell_angle_alpha 90.00
_cell_angle_beta 90.00
_cell_angle_gamma 120.00
_space_group_name_H-M_alt 'P -6 m 2'
_space_group_IT_number 187
_space_group_name_Hall 'P -6 2'
loop_
_atom_site_label
_atom_site_type_symbol
_atom_site_fract_x
_atom_site_fract_y
_atom_site_fract_z
Ba1 Ba 0.0000 0.0000 0.0000
Pt1 Pt 0.3333 0.6667 0.5000
Br1 Br 0.6667 0.3333 0.5000
```

Output
Its total moment is 0.0 μB/cell. The uncorrected formation energy comes out at -0.72 eV/atom. The value obtained for the volume is 86.0 Å³ per cell.

No. 14
A relaxed structure of NaTm3In4. Source: Alexandria, functional PBE-GGA.

The structure in CIF format:
```
data_NaTm3In4
_chemical_formula_sum 'Na3 Tm9 In12'
_cell_length_a 5.2416
_cell_length_b 5.2416
_cell_length_c 25.8611
_cell_angle_alpha 90.00
_cell_angle_beta 90.00
_cell_angle_gamma 120.00
_space_group_name_H-M_alt 'R -3 m'
_space_group_IT_number 166
_space_group_name_Hall '-R 3 2"'
loop_
_atom_site_label
_atom_site_type_symbol
_atom_site_fract_x
_atom_site_fract_y
_atom_site_fract_z
Na1 Na 0.0000 0.0000 0.0000
Tm1 Tm 0.0000 0.0000 0.2523
Tm2 Tm 0.0000 0.0000 0.5000
In1 In 0.0000 0.0000 0.1246
In2 In 0.0000 0.0000 0.3753
```

Output
Its total moment is 0.0 μB/cell. The value obtained for the volume is 615.3 Å³ per cell. As for the formation energy: -2.7 eV/f.u.

No. 15
A relaxed structure of CaAc2ErSe4. Source: Alexandria, functional PBE-GGA.

The structure in CIF format:
```
data_CaAc2ErSe4
_chemical_formula_sum 'Ca1 Ac2 Er1 Se4'
_cell_length_a 7.297
_cell_length_b 4.203
_cell_length_c 7.686
_cell_angle_alpha 90.00
_cell_angle_beta 108.30
_cell_angle_gamma 90.00
_space_group_name_H-M_alt 'P 1 2/m 1'
_space_group_IT_number 10
_space_group_name_Hall '-P 2y'
loop_
_atom_site_label
_atom_site_type_symbol
_atom_site_fract_x
_atom_site_fract_y
_atom_site_fract_z
Ca1 Ca 0.000 0.000 0.000
Ac1 Ac 0.000 0.500 0.500
Ac2 Ac 0.500 0.000 0.500
Er1 Er 0.500 0.500 0.000
Se1 Se 0.246 0.500 0.222
Se2 Se 0.264 0.000 0.781
```

Output
Its total moment is 0.0 μB/cell. The uncorrected formation energy comes out at -1.84 eV/atom. The value obtained for the volume is 223.8 Å³ per cell.

No. 16
A relaxed structure of Ca4TmPb15. Source: Alexandria, functional PBE-GGA.

The structure in CIF format:
```
data_Ca4TmPb15
_chemical_formula_sum 'Ca4 Tm1 Pb15'
_cell_length_a 4.911
_cell_length_b 4.911
_cell_length_c 24.746
_cell_angle_alpha 90.00
_cell_angle_beta 90.00
_cell_angle_gamma 90.00
_space_group_name_H-M_alt 'P 4/m m m'
_space_group_IT_number 123
_space_group_name_Hall '-P 4 2'
loop_
_atom_site_label
_atom_site_type_symbol
_atom_site_fract_x
_atom_site_fract_y
_atom_site_fract_z
Ca1 Ca 0.000 0.000 0.100
Ca2 Ca 0.000 0.000 0.302
Tm1 Tm 0.000 0.000 0.500
Pb1 Pb 0.000 0.500 0.000
Pb2 Pb 0.000 0.500 0.201
Pb3 Pb 0.000 0.500 0.402
Pb4 Pb 0.500 0.500 0.101
Pb5 Pb 0.500 0.500 0.302
Pb6 Pb 0.500 0.500 0.500
```

Output
Its total moment is 0.0 μB/cell. The value obtained for the volume is 596.9 Å³ per cell. As for the formation energy: -6.0 eV/f.u.

No. 17
A relaxed structure of Ca3Tb3ScS8. Source: Alexandria, functional PBE-GGA.

The structure in CIF format:
```
data_Ca3Tb3ScS8
_chemical_formula_sum 'Ca9 Tb9 Sc3 S24'
_cell_length_a 7.8396
_cell_length_b 7.8396
_cell_length_c 19.6505
_cell_angle_alpha 90.00
_cell_angle_beta 90.00
_cell_angle_gamma 120.00
_space_group_name_H-M_alt 'R -3 m'
_space_group_IT_number 166
_space_group_name_Hall '-R 3 2"'
loop_
_atom_site_label
_atom_site_type_symbol
_atom_site_fract_x
_atom_site_fract_y
_atom_site_fract_z
Ca1 Ca 0.0000 0.5000 0.0000
Tb1 Tb 0.0000 0.5000 0.5000
Sc1 Sc 0.0000 0.0000 0.5000
S1 S 0.0000 0.0000 0.2488
S2 S 0.0139 0.5070 0.2440
```

Output
Its total moment is 0.0 μB/cell. The uncorrected formation energy comes out at -2.07 eV/atom. The value obtained for the volume is 1045.9 Å³ per cell.

No. 18
A relaxed structure of CdNi. Source: Alexandria, functional PBE-GGA.

The structure in CIF format:
```
data_CdNi
_chemical_formula_sum 'Cd8 Ni8'
_cell_length_a 9.414
_cell_length_b 9.414
_cell_length_c 2.885
_cell_angle_alpha 90.00
_cell_angle_beta 90.00
_cell_angle_gamma 90.00
_space_group_name_H-M_alt 'I 4/m'
_space_group_IT_number 87
_space_group_name_Hall '-I 4'
loop_
_atom_site_label
_atom_site_type_symbol
_atom_site_fract_x
_atom_site_fract_y
_atom_site_fract_z
Cd1 Cd 0.137 0.171 0.000
Ni1 Ni 0.030 0.648 0.500
```

Output
Its total moment is 0.0 μB/cell. The value obtained for the volume is 255.7 Å³ per cell. As for the formation energy: 0.1 eV/f.u.

No. 19
A relaxed structure of BeCrHRh2. Source: Alexandria, functional PBE-GGA.

The structure in CIF format:
```
data_BeCrHRh2
_chemical_formula_sum 'Be1 Cr1 H1 Rh2'
_cell_length_a 3.887
_cell_length_b 3.887
_cell_length_c 3.560
_cell_angle_alpha 90.00
_cell_angle_beta 90.00
_cell_angle_gamma 90.00
_space_group_name_H-M_alt 'P 4/m m m'
_space_group_IT_number 123
_space_group_name_Hall '-P 4 2'
loop_
_atom_site_label
_atom_site_type_symbol
_atom_site_fract_x
_atom_site_fract_y
_atom_site_fract_z
Be1 Be 0.000 0.000 0.000
Cr1 Cr 0.500 0.500 0.000
H1 H 0.500 0.500 0.500
Rh1 Rh 0.000 0.500 0.500
```

Output
Its total moment is 2.9 μB/cell. The value obtained for the volume is 53.8 Å³ per cell.

No. 20
A relaxed structure of Zr2SiNi. Source: Alexandria, functional PBE-GGA.

The structure in CIF format:
```
data_Zr2SiNi
_chemical_formula_sum 'Zr4 Si2 Ni2'
_cell_length_a 5.659
_cell_length_b 7.165
_cell_length_c 3.394
_cell_angle_alpha 90.00
_cell_angle_beta 90.00
_cell_angle_gamma 90.00
_space_group_name_H-M_alt 'C m m m'
_space_group_IT_number 65
_space_group_name_Hall '-C 2 2'
loop_
_atom_site_label
_atom_site_type_symbol
_atom_site_fract_x
_atom_site_fract_y
_atom_site_fract_z
Zr1 Zr 0.250 0.250 0.000
Si1 Si 0.000 0.000 0.500
Ni1 Ni 0.000 0.500 0.500
```

Output
Its total moment is 0.0 μB/cell. The uncorrected formation energy comes out at -0.46 eV/atom. The value obtained for the volume is 137.6 Å³ per cell.

Looking at total DFT energy (no corrections) for the records above, in order, we have -31.59; -127.12; -18.23; -67.19; -27.06; -279.53; -54.50; -72.97; -53.68; -29.13; -129.73; -95.00; -11.79; -85.20; -43.40; -74.06; -271.10; -52.48; -31.96; -60.25 eV/cell.